1.
The following is a DFT calculation (PBEsol) of a geometry-optimized PtAu4Br structure.

Geometry as extended XYZ:
```
6
Lattice="0.0000 3.8263 3.8263 3.8263 0.0000 3.8263 3.8263 3.8263 0.0000" Properties=species:S:1:pos:R:3 pbc="T T T"
Pt 0.0000 0.0000 0.0000
Au 4.7856 2.8670 2.8670
Au 2.8670 4.7856 2.8670
Au 2.8670 2.8670 4.7856
Au 4.7856 4.7856 4.7856
Br 1.9132 1.9132 1.9132
```

Calculated density ... 15.75 g cm⁻³
Crystal system ... cubic
VASP energy ... -3.591 eV per atom
Uncorrected formation energy ... 3.0 eV per formula unit

***

2.
The following is a DFT calculation (PBEsol) of a geometry-optimized LiLaSb structure.

Geometry as extended XYZ:
```
3
Lattice="4.5213 0.0000 0.0000 -2.2606 3.9156 0.0000 0.0000 0.0000 4.2834" Properties=species:S:1:pos:R:3 pbc="T T T"
Li 0.0000 0.0000 0.0000
La 2.2606 1.3052 2.1417
Sb 0.0000 2.6104 0.0000
```

Calculated density ... 5.86 g cm⁻³
Crystal system ... hexagonal
E above lowest polymorph ... 0 meV per atom
VASP energy ... -4.870 eV per atom
Uncorrected formation energy ... -2.7 eV per formula unit

***

3.
The following is a DFT calculation (PBEsol) of a geometry-optimized PdC3F structure.

Geometry as extended XYZ:
```
5
Lattice="3.9497 0.0000 0.0000 0.0000 3.9497 0.0000 0.0000 0.0000 3.9497" Properties=species:S:1:pos:R:3 pbc="T T T"
Pd 0.0000 0.0000 0.0000
C 0.0000 0.0000 1.9749
C 0.0000 1.9749 0.0000
C 1.9749 0.0000 0.0000
F 1.9749 1.9749 1.9749
```

Calculated density ... 4.35 g cm⁻³
Crystal system ... cubic
VASP energy ... -4.746 eV per atom
Uncorrected formation energy ... 13.1 eV per formula unit

***

4.
The following is a DFT calculation (PBEsol) of a geometry-optimized K2SrTa structure.

Geometry as extended XYZ:
```
4
Lattice="1.6931 0.9775 13.8172 -1.6931 0.9775 13.8172 0.0000 -1.9550 13.8172" Properties=species:S:1:pos:R:3 pbc="T T T"
K 0.0000 0.0000 9.9472
K 0.0000 0.0000 31.5045
Sr 0.0000 0.0000 0.0000
Ta 0.0000 0.0000 20.7259
```

Calculated density ... 4.20 g cm⁻³
Crystal system ... trigonal
DFT formation energy ... 1.23 eV/atom
E above lowest polymorph ... 262 meV per atom
VASP energy ... -2.934 eV per atom

***

5.
The following is a DFT calculation (PBEsol) of a geometry-optimized SrAl2Zn structure.

Geometry as extended XYZ:
```
4
Lattice="3.4735 0.0000 0.0000 0.0000 4.3274 0.0000 -1.4070 0.0000 6.0611" Properties=species:S:1:pos:R:3 pbc="T T T"
Sr 0.0000 0.0000 0.0000
Al 0.2058 2.1637 4.1318
Al 1.8607 2.1637 1.9292
Zn 1.0332 0.0000 3.0305
```

Calculated density ... 3.77 g cm⁻³
Crystal system ... monoclinic
DFT formation energy ... -0.02 eV/atom
VASP energy ... -2.920 eV per atom

***

6.
The following is a DFT calculation (PBEsol) of a geometry-optimized Tl2TePb structure.

Geometry as extended XYZ:
```
4
Lattice="-2.1898 2.6292 5.1969 2.1898 -2.6292 5.1969 2.1898 2.6292 -5.1969" Properties=species:S:1:pos:R:3 pbc="T T T"
Tl 0.0000 0.0000 0.0000
Tl 0.0000 2.6292 2.4813
Te 0.0000 0.0000 5.0829
Pb 2.1898 0.0000 2.7905
```

Calculated density ... 10.32 g cm⁻³
Crystal system ... orthorhombic
E above lowest polymorph ... 24 meV per atom
VASP energy ... -3.304 eV per atom
Uncorrected formation energy ... -0.4 eV per formula unit